No. 1
Computed, not measured: a relaxed structure of CdGaSn2 at the PBE level of DFT.

extended XYZ file:
```
4
Lattice="2.272 1.312 5.932 -2.272 1.312 5.932 0.000 -2.624 5.932" Properties=species:S:1:pos:R:3 pbc="T T T"
Cd 0.000 0.000 0.000
Ga 0.000 0.000 3.008
Sn 0.000 0.000 10.264
Sn 0.000 0.000 13.485
```

total magnetization = 0.0 μB per formula unit
V = 106 Å³/f.u.
energy of formation from the pure elements = 0.09 eV per atom
ΔE to the lowest computed polymorph = 0.11 eV per formula unit
crystal system = trigonal
density of states at the Fermi level = 2.03 states/eV per cell
space group = R3m


No. 2
Computed, not measured: a relaxed structure of CdGa6Sn at the PBE level of DFT.

extended XYZ file:
```
8
Lattice="4.213 0.000 0.000 0.000 4.136 4.738 0.000 -4.136 4.738" Properties=species:S:1:pos:R:3 pbc="T T T"
Cd 0.000 0.000 0.000
Ga 0.000 0.000 4.885
Ga 0.000 -1.943 7.110
Ga 0.000 1.943 7.110
Ga 2.106 -1.996 4.847
Ga 2.106 1.996 4.847
Ga 2.106 0.000 7.222
Sn 2.106 0.000 2.488
```

total magnetization = 0.0 μB per formula unit
V = 165 Å³/f.u.
energy of formation from the pure elements = 0.04 eV per atom
ΔE to the lowest computed polymorph = 0.00 eV per formula unit
crystal system = orthorhombic
density of states at the Fermi level = 3.67 states/eV per cell
space group = Amm2


No. 3
Computed, not measured: a relaxed structure of CdGa4Sn at the PBE level of DFT.

extended XYZ file:
```
6
Lattice="4.922 0.000 0.000 0.754 5.194 0.000 2.323 0.938 5.045" Properties=species:S:1:pos:R:3 pbc="T T T"
Cd 0.000 0.000 0.000
Ga 3.971 3.372 4.299
Ga 3.237 5.484 1.685
Ga 4.763 0.648 3.360
Ga 4.029 2.760 0.746
Sn 1.539 3.066 2.523
```

total magnetization = 0.0 μB per formula unit
V = 129 Å³/f.u.
energy of formation from the pure elements = 0.05 eV per atom
ΔE to the lowest computed polymorph = 0.00 eV per formula unit
crystal system = triclinic
density of states at the Fermi level = 2.23 states/eV per cell
space group = P-1


No. 4
Computed, not measured: a relaxed structure of Cd3Ga5Sn12 at the PBE level of DFT.

extended XYZ file:
```
80
Lattice="-8.370 8.370 8.370 8.370 -8.370 8.370 8.370 8.370 -8.370" Properties=species:S:1:pos:R:3 pbc="T T T"
Cd 4.185 2.092 0.000
Cd 8.370 4.185 -2.092
Cd 2.092 0.000 4.185
Cd 10.462 0.000 4.185
Cd 0.000 4.185 2.092
Cd 4.185 -2.092 8.370
Cd 4.185 10.462 0.000
Cd 8.370 4.185 6.277
Cd -2.092 8.370 4.185
Cd 6.277 8.370 4.185
Cd 0.000 4.185 10.462
Cd 4.185 6.277 8.370
Ga 0.000 0.000 0.000
Ga 4.185 4.185 -4.185
Ga 4.185 -4.185 4.185
Ga 8.370 0.000 0.000
Ga 12.555 2.092 0.000
Ga 8.370 -4.185 6.277
Ga 6.277 8.370 -4.185
Ga 6.277 0.000 4.185
Ga 4.185 6.277 0.000
Ga 8.370 4.185 2.092
Ga -4.185 4.185 4.185
Ga 0.000 8.370 0.000
Ga 0.000 0.000 8.370
Ga 4.185 4.185 4.185
Ga 0.000 4.185 6.277
Ga 4.185 2.092 8.370
Ga 2.092 8.370 4.185
Ga 2.092 0.000 12.555
Ga 0.000 12.555 2.092
Ga -4.185 6.277 8.370
Sn 2.508 -0.355 1.307
Sn 10.047 5.492 -4.540
Sn 8.015 -1.307 2.508
Sn 12.910 -1.677 2.878
Sn 10.878 0.355 1.307
Sn 10.047 -2.878 4.540
Sn 1.307 2.508 -0.355
Sn 11.248 3.830 -1.677
Sn 5.492 4.540 -1.677
Sn 7.063 2.508 0.355
Sn -0.355 1.307 2.508
Sn 4.540 -1.677 5.492
Sn 8.015 7.063 -2.508
Sn 4.540 1.677 2.878
Sn 7.063 -2.508 8.015
Sn 5.492 -4.540 10.047
Sn 2.878 4.540 1.677
Sn 9.676 5.862 0.355
Sn 2.508 8.015 -1.307
Sn 10.047 2.878 3.830
Sn 4.540 10.047 -2.878
Sn 8.015 1.307 5.862
Sn 1.677 2.878 4.540
Sn 2.508 0.355 7.063
Sn 5.862 8.015 1.307
Sn 6.693 5.492 3.830
Sn 0.355 7.063 2.508
Sn 3.830 -1.677 11.248
Sn -1.677 5.492 4.540
Sn 5.862 0.355 9.676
Sn -1.307 2.508 8.015
Sn 5.492 3.830 6.693
Sn 2.878 12.910 -1.677
Sn 1.307 10.878 0.355
Sn 3.830 6.693 5.492
Sn 0.355 1.307 10.878
Sn 3.830 10.047 2.878
Sn 8.725 7.063 5.862
Sn 1.307 5.862 8.015
Sn 2.878 3.830 10.047
Sn -2.878 4.540 10.047
Sn 7.063 5.862 8.725
Sn -1.677 11.248 3.830
Sn -2.508 8.015 7.063
Sn -4.540 10.047 5.492
Sn 0.355 9.676 5.862
Sn -1.677 2.878 12.910
Sn 5.862 8.725 7.063
```

total magnetization = 0.0 μB per formula unit
V = 586 Å³/f.u.
energy of formation from the pure elements = 0.15 eV per atom
crystal system = cubic
density of states at the Fermi level = 39.36 states/eV per cell
space group = Ia-3d


No. 5
Computed, not measured: a relaxed structure of CdGaSn2 at the PBE level of DFT.

extended XYZ file:
```
4
Lattice="4.650 0.000 0.000 0.000 4.650 0.000 0.000 0.000 4.567" Properties=species:S:1:pos:R:3 pbc="T T T"
Cd 0.000 0.000 0.000
Ga 2.325 2.325 0.000
Sn 0.000 2.325 2.284
Sn 2.325 0.000 2.284
```

total magnetization = 0.0 μB per formula unit
V = 99 Å³/f.u.
energy of formation from the pure elements = 0.06 eV per atom
ΔE to the lowest computed polymorph = 0.00 eV per formula unit
crystal system = tetragonal
density of states at the Fermi level = 1.33 states/eV per cell
space group = P4/mmm


No. 6
Computed, not measured: a relaxed structure of Cd5Ga12Sn3 at the PBE level of DFT.

extended XYZ file:
```
80
Lattice="-8.111 8.111 8.111 8.111 -8.111 8.111 8.111 8.111 -8.111" Properties=species:S:1:pos:R:3 pbc="T T T"
Cd 0.000 0.000 0.000
Cd 4.056 4.056 -4.056
Cd 4.056 -4.056 4.056
Cd 8.111 0.000 0.000
Cd 12.167 2.028 0.000
Cd 8.111 -4.056 6.083
Cd 6.083 8.111 -4.056
Cd 6.083 0.000 4.056
Cd 4.056 6.083 0.000
Cd 8.111 4.056 2.028
Cd -4.056 4.056 4.056
Cd 0.000 8.111 0.000
Cd 0.000 0.000 8.111
Cd 4.056 4.056 4.056
Cd 0.000 4.056 6.083
Cd 4.056 2.028 8.111
Cd 2.028 8.111 4.056
Cd 2.028 0.000 12.167
Cd 0.000 12.167 2.028
Cd -4.056 6.083 8.111
Ga 2.468 -0.200 1.246
Ga 9.699 5.301 -4.256
Ga 7.911 -1.246 2.468
Ga 12.367 -1.587 2.810
Ga 10.579 0.200 1.246
Ga 9.699 -2.810 4.256
Ga 1.246 2.468 -0.200
Ga 10.921 3.856 -1.587
Ga 5.301 4.256 -1.587
Ga 6.865 2.468 0.200
Ga -0.200 1.246 2.468
Ga 4.256 -1.587 5.301
Ga 7.911 6.865 -2.468
Ga 4.256 1.587 2.810
Ga 6.865 -2.468 7.911
Ga 5.301 -4.256 9.699
Ga 2.810 4.256 1.587
Ga 9.357 5.643 0.200
Ga 2.468 7.911 -1.246
Ga 9.699 2.810 3.856
Ga 4.256 9.699 -2.810
Ga 7.911 1.246 5.643
Ga 1.587 2.810 4.256
Ga 2.468 0.200 6.865
Ga 5.643 7.911 1.246
Ga 6.524 5.301 3.856
Ga 0.200 6.865 2.468
Ga 3.856 -1.587 10.921
Ga -1.587 5.301 4.256
Ga 5.643 0.200 9.357
Ga -1.246 2.468 7.911
Ga 5.301 3.856 6.524
Ga 2.810 12.367 -1.587
Ga 1.246 10.579 0.200
Ga 3.856 6.524 5.301
Ga 0.200 1.246 10.579
Ga 3.856 9.699 2.810
Ga 8.311 6.865 5.643
Ga 1.246 5.643 7.911
Ga 2.810 3.856 9.699
Ga -2.810 4.256 9.699
Ga 6.865 5.643 8.311
Ga -1.587 10.921 3.856
Ga -2.468 7.911 6.865
Ga -4.256 9.699 5.301
Ga 0.200 9.357 5.643
Ga -1.587 2.810 12.367
Ga 5.643 8.311 6.865
Sn 4.056 2.028 0.000
Sn 8.111 4.056 -2.028
Sn 2.028 0.000 4.056
Sn 10.139 0.000 4.056
Sn 0.000 4.056 2.028
Sn 4.056 -2.028 8.111
Sn 4.056 10.139 0.000
Sn 8.111 4.056 6.083
Sn -2.028 8.111 4.056
Sn 6.083 8.111 4.056
Sn 0.000 4.056 10.139
Sn 4.056 6.083 8.111
```

total magnetization = 0.0 μB per formula unit
V = 534 Å³/f.u.
energy of formation from the pure elements = 0.17 eV per atom
crystal system = cubic
density of states at the Fermi level = 18.08 states/eV per cell
space group = Ia-3d


No. 7
Computed, not measured: a relaxed structure of CdGa6Sn at the PBE level of DFT.

extended XYZ file:
```
8
Lattice="4.497 0.000 0.000 0.000 4.497 0.000 0.000 0.000 8.193" Properties=species:S:1:pos:R:3 pbc="T T T"
Cd 0.000 0.000 0.000
Ga 0.000 2.249 1.988
Ga 0.000 2.249 6.205
Ga 2.249 0.000 1.988
Ga 2.249 0.000 6.205
Ga 2.249 2.249 0.000
Ga 2.249 2.249 4.097
Sn 0.000 0.000 4.097
```

total magnetization = 0.0 μB per formula unit
V = 166 Å³/f.u.
energy of formation from the pure elements = 0.06 eV per atom
ΔE to the lowest computed polymorph = 0.13 eV per formula unit
crystal system = tetragonal
density of states at the Fermi level = 4.66 states/eV per cell
space group = P4/mmm


No. 8
Computed, not measured: a relaxed structure of Cd4GaSn at the PBE level of DFT.

extended XYZ file:
```
12
Lattice="2.514 -7.484 0.000 2.514 7.484 0.000 0.000 0.000 8.098" Properties=species:S:1:pos:R:3 pbc="T T T"
Cd 0.000 0.000 0.000
Cd 0.000 0.000 4.049
Cd 2.514 4.256 4.601
Cd 2.514 4.256 7.547
Cd 2.514 0.797 6.074
Cd 2.514 -0.797 2.025
Cd 2.514 -4.256 0.552
Cd 2.514 -4.256 3.497
Ga 2.514 5.481 2.025
Ga 2.514 -5.481 6.074
Sn 2.514 2.207 2.025
Sn 2.514 -2.207 6.074
```

total magnetization = 0.0 μB per formula unit
V = 152 Å³/f.u.
energy of formation from the pure elements = 0.12 eV per atom
ΔE to the lowest computed polymorph = 0.27 eV per formula unit
crystal system = orthorhombic
density of states at the Fermi level = 3.96 states/eV per cell
space group = Cmcm


No. 9
Computed, not measured: a relaxed structure of Cd3GaSn3 at the PBE level of DFT.

extended XYZ file:
```
14
Lattice="8.000 0.000 0.000 0.000 8.000 0.000 0.000 0.000 8.000" Properties=species:S:1:pos:R:3 pbc="T T T"
Cd 0.000 2.000 4.000
Cd 0.000 6.000 4.000
Cd 2.000 4.000 0.000
Cd 4.000 0.000 2.000
Cd 4.000 0.000 6.000
Cd 6.000 4.000 0.000
Ga 0.000 0.000 0.000
Ga 4.000 4.000 4.000
Sn 0.000 4.000 2.000
Sn 0.000 4.000 6.000
Sn 2.000 0.000 4.000
Sn 4.000 2.000 0.000
Sn 4.000 6.000 0.000
Sn 6.000 0.000 4.000
```

total magnetization = 0.0 μB per formula unit
V = 256 Å³/f.u.
energy of formation from the pure elements = 0.45 eV per atom
crystal system = cubic
density of states at the Fermi level = 9.49 states/eV per cell
space group = Pm-3n


No. 10
Computed, not measured: a relaxed structure of CdGa2Sn8 at the PBE level of DFT.

extended XYZ file:
```
11
Lattice="5.862 -4.726 0.000 5.862 4.726 0.000 -1.170 0.000 5.773" Properties=species:S:1:pos:R:3 pbc="T T T"
Cd 0.000 0.000 0.000
Ga 0.780 0.000 3.183
Ga 9.775 0.000 2.590
Sn 4.876 2.162 1.374
Sn 2.870 0.000 0.876
Sn 5.678 2.162 4.400
Sn 3.566 0.000 4.067
Sn 6.989 0.000 1.706
Sn 4.876 -2.162 1.374
Sn 7.684 0.000 4.897
Sn 5.678 -2.162 4.400
```

total magnetization = 0.0 μB per formula unit
V = 320 Å³/f.u.
energy of formation from the pure elements = 0.11 eV per atom
crystal system = monoclinic
density of states at the Fermi level = 3.74 states/eV per cell
space group = C2/m


No. 11
Computed, not measured: a relaxed structure of Cd12Ga6Sn at the PBE level of DFT.

extended XYZ file:
```
19
Lattice="6.641 3.834 2.926 -6.641 3.834 2.926 0.000 -7.668 2.926" Properties=species:S:1:pos:R:3 pbc="T T T"
Cd -2.554 -3.244 2.926
Cd -4.087 -0.590 2.926
Cd 0.000 -1.912 2.117
Cd -1.656 0.956 2.117
Cd -4.087 0.590 5.852
Cd -1.533 3.834 2.926
Cd 1.656 0.956 2.117
Cd -1.656 -0.956 6.661
Cd -2.554 3.244 5.852
Cd 1.533 3.834 2.926
Cd 1.656 -0.956 6.661
Cd 0.000 1.912 6.661
Ga 0.000 -4.751 3.467
Ga -4.115 2.376 3.467
Ga -4.115 -2.376 5.311
Ga 4.115 2.376 3.467
Ga 4.115 -2.376 5.311
Ga 0.000 4.751 5.311
Sn 0.000 0.000 4.389
```

total magnetization = 0.0 μB per formula unit
V = 447 Å³/f.u.
energy of formation from the pure elements = 0.10 eV per atom
ΔE to the lowest computed polymorph = 0.48 eV per formula unit
crystal system = trigonal
density of states at the Fermi level = 8.30 states/eV per cell
space group = R-3m


No. 12
Computed, not measured: a relaxed structure of CdGa2Sn2 at the PBE level of DFT.

extended XYZ file:
```
10
Lattice="8.502 0.000 0.000 0.000 8.502 0.000 0.000 0.000 3.368" Properties=species:S:1:pos:R:3 pbc="T T T"
Cd 0.000 0.000 0.000
Cd 4.251 4.251 0.000
Ga 1.204 3.047 1.684
Ga 3.047 7.299 1.684
Ga 5.455 1.204 1.684
Ga 7.299 5.455 1.684
Sn 1.319 5.570 0.000
Sn 2.932 1.319 0.000
Sn 5.570 7.183 0.000
Sn 7.183 2.932 0.000
```

total magnetization = 0.0 μB per formula unit
V = 122 Å³/f.u.
energy of formation from the pure elements = 0.09 eV per atom
ΔE to the lowest computed polymorph = 0.08 eV per formula unit
crystal system = tetragonal
density of states at the Fermi level = 5.44 states/eV per cell
space group = P4/mbm